Compound: Th2NiGe4Pt3
Source: the Alexandria database
Functional: PBE
Structure: relaxed

Cell: 4.337 4.337 10.059 Å, 90.00 90.00 90.00°
Space group P-4m2 (No. 115)
Symmetry-distinct sites (fractional):
1 Th 0.000 0.500 0.239
2 Ni 0.500 0.500 0.000
3 Ge 0.000 0.000 0.500
4 Ge 0.000 0.500 0.875
5 Ge 0.500 0.500 0.500
6 Pt 0.000 0.000 0.000
7 Pt 0.000 0.500 0.628

Calculated values
D(E_F) in states/eV per cell: 4.12
DFT total energy in Ha/atom: -0.2426
Formation energy from the elements in eV/atom: -0.88